(1)
Density functional theory data (GGA-PBE) for an optimized crystal structure of Tm2ScBi4.

a b c (Å): 4.406 11.122 16.861
angles (deg): 90.00 90.00 90.00
Space group Cmcm (No. 63)
Unique sites:
Tm: 0.000 0.164 0.074
Sc: 0.000 0.440 0.250
Bi: 0.000 0.145 0.627
Bi: 0.000 0.147 0.250
Bi: 0.000 0.500 0.000

## Properties
For the formation enthalpy at 0 K, the calculation gives -0.469 eV per atom. The value obtained for the spin magnetization is 0.000 μB/cell. The calculation puts the total energy at -136.32 eV/cell.



(2)
Density functional theory data (GGA-PBE) for an optimized crystal structure of Tm2Sc3Bi2.

a b c (Å): 11.602 4.245 8.125
angles (deg): 90.00 109.45 90.00
Space group C2/m (No. 12)
Unique sites:
Tm: 0.109 0.000 0.248
Sc: 0.000 0.500 0.500
Sc: 0.128 0.500 0.940
Bi: 0.175 0.000 0.689

## Properties
For the formation enthalpy at 0 K, the calculation gives -0.425 eV per atom. The value obtained for the spin magnetization is 0.002 μB/cell. The calculation puts the total energy at -77.34 eV/cell.



(3)
Density functional theory data (GGA-PBE) for an optimized crystal structure of Tm4ScBi2.

a b c (Å): 5.152 5.152 16.503
angles (deg): 90.00 90.00 90.00
Space group I4/mmm (No. 139)
Unique sites:
Tm: 0.000 0.000 0.178
Tm: 0.000 0.500 0.000
Sc: 0.000 0.000 0.000
Bi: 0.000 0.000 0.363

## Properties
For the formation enthalpy at 0 K, the calculation gives 0.232 eV per atom. The value obtained for the spin magnetization is 0.001 μB/cell. The calculation puts the total energy at -60.70 eV/cell.



(4)
Density functional theory data (GGA-PBE) for an optimized crystal structure of TmSc5Bi3.

a b c (Å): 9.0105 9.0105 6.2752
angles (deg): 90.00 90.00 120.00
Space group P6_3/mcm (No. 193)
Unique sites:
Tm: 0.0000 0.0000 0.0000
Sc: 0.0000 0.3328 0.2500
Sc: 0.3333 0.6667 0.0000
Bi: 0.0000 0.3377 0.7500

## Properties
For the formation enthalpy at 0 K, the calculation gives -0.405 eV per atom. The value obtained for the spin magnetization is 0.002 μB/cell. The calculation puts the total energy at -102.83 eV/cell. The energy above the most stable polymorph in this dataset is 0 meV/atom.



(5)
Density functional theory data (GGA-PBE) for an optimized crystal structure of Tm5ScBi4.

a b c (Å): 19.550 4.308 7.546
angles (deg): 90.00 100.97 90.00
Space group C2/m (No. 12)
Unique sites:
Tm: 0.000 0.000 0.000
Tm: 0.189 0.500 0.586
Tm: 0.196 0.500 0.115
Sc: 0.000 0.000 0.500
Bi: 0.059 0.500 0.287
Bi: 0.132 0.000 0.822

## Properties
For the formation enthalpy at 0 K, the calculation gives -0.487 eV per atom. The value obtained for the spin magnetization is 3.179 μB/cell. The calculation puts the total energy at -98.17 eV/cell.



(6)
Density functional theory data (GGA-PBE) for an optimized crystal structure of TmSc2Bi.

a b c (Å): 3.944 3.944 6.697
angles (deg): 90.00 90.00 90.00
Space group P4/mmm (No. 123)
Unique sites:
Tm: 0.000 0.000 0.000
Sc: 0.500 0.500 0.264
Bi: 0.000 0.000 0.500

## Properties
For the formation enthalpy at 0 K, the calculation gives -0.287 eV per atom. The value obtained for the spin magnetization is 1.305 μB/cell. The calculation puts the total energy at -22.16 eV/cell. The energy above the most stable polymorph in this dataset is 140 meV/atom.



(7)
Density functional theory data (GGA-PBE) for an optimized crystal structure of TmScBi.

a b c (Å): 7.243 7.243 7.243
angles (deg): 90.00 90.00 90.00
Space group P2_13 (No. 198)
Unique sites:
Tm: 0.045 0.045 0.045
Sc: 0.210 0.710 0.790
Bi: 0.025 0.975 0.475

## Properties
For the formation enthalpy at 0 K, the calculation gives 0.068 eV per atom. The value obtained for the spin magnetization is 0.000 μB/cell. The calculation puts the total energy at -57.92 eV/cell.



(8)
Density functional theory data (GGA-PBE) for an optimized crystal structure of TmSc8Bi2.

a b c (Å): 8.149 14.223 5.520
angles (deg): 90.00 117.39 90.00
Space group C2/m (No. 12)
Unique sites:
Tm: 0.000 0.000 0.000
Sc: 0.000 0.219 0.000
Sc: 0.082 0.500 0.801
Sc: 0.206 0.109 0.629
Bi: 0.000 0.305 0.500

## Properties
For the formation enthalpy at 0 K, the calculation gives -0.105 eV per atom. The value obtained for the spin magnetization is 0.001 μB/cell. The calculation puts the total energy at -128.07 eV/cell.



(9)
Density functional theory data (GGA-PBE) for an optimized crystal structure of Tm3Sc5Bi8.

a b c (Å): 8.6625 8.6625 21.2157
angles (deg): 90.00 90.00 120.00
Space group R-3m (No. 166, hexagonal axes)
Unique sites:
Tm: 0.0000 0.5000 0.0000
Sc: 0.0000 0.0000 0.0000
Sc: 0.0000 0.0000 0.5000
Sc: 0.0000 0.5000 0.5000
Bi: 0.0000 0.0000 0.2462
Bi: 0.0050 0.5025 0.7525

## Properties
For the formation enthalpy at 0 K, the calculation gives -0.701 eV per atom. The value obtained for the spin magnetization is 0.000 μB/cell. The calculation puts the total energy at -262.01 eV/cell.



(10)
Density functional theory data (GGA-PBE) for an optimized crystal structure of TmSc5Bi3.

a b c (Å): 14.254 8.616 9.993
angles (deg): 90.00 116.88 90.00
Space group C2/m (No. 12)
Unique sites:
Tm: 0.138 0.000 0.347
Sc: 0.000 0.329 0.000
Sc: 0.036 0.500 0.316
Sc: 0.111 0.192 0.782
Sc: 0.209 0.500 0.959
Bi: 0.000 0.000 0.000
Bi: 0.000 0.000 0.500
Bi: 0.153 0.500 0.644
Bi: 0.212 0.500 0.255

## Properties
For the formation enthalpy at 0 K, the calculation gives -0.147 eV per atom. The value obtained for the spin magnetization is 0.194 μB/cell. The calculation puts the total energy at -196.39 eV/cell. The energy above the most stable polymorph in this dataset is 258 meV/atom.



(11)
Density functional theory data (GGA-PBE) for an optimized crystal structure of Tm3Sc2Bi3.

a b c (Å): 8.9130 8.9130 6.1597
angles (deg): 90.00 90.00 120.00
Space group P6_3/mcm (No. 193)
Unique sites:
Tm: 0.0000 0.2412 0.2500
Sc: 0.3333 0.6667 0.0000
Bi: 0.0000 0.3950 0.7500

## Properties
For the formation enthalpy at 0 K, the calculation gives -0.627 eV per atom. The value obtained for the spin magnetization is 1.706 μB/cell. The calculation puts the total energy at -85.47 eV/cell.



(12)
Density functional theory data (GGA-PBE) for an optimized crystal structure of TmScBi.

a b c (Å): 4.403 4.403 8.257
angles (deg): 90.00 90.00 90.00
Space group P4/nmm (No. 129, origin choice 2)
Unique sites:
Tm: 0.250 0.250 0.159
Sc: 0.250 0.750 0.500
Bi: 0.250 0.250 0.775

## Properties
For the formation enthalpy at 0 K, the calculation gives -0.581 eV per atom. The value obtained for the spin magnetization is 0.716 μB/cell. The calculation puts the total energy at -32.85 eV/cell.



(13)
Density functional theory data (GGA-PBE) for an optimized crystal structure of TmScBi.

a b c (Å): 3.914 3.914 10.403
angles (deg): 90.00 90.00 90.00
Space group I4mm (No. 107)
Unique sites:
Tm: 0.000 0.000 0.000
Sc: 0.000 0.000 0.680
Bi: 0.000 0.000 0.328

## Properties
For the formation enthalpy at 0 K, the calculation gives -0.402 eV per atom. The value obtained for the spin magnetization is 2.024 μB/cell. The calculation puts the total energy at -31.78 eV/cell.



(14)
Density functional theory data (GGA-PBE) for an optimized crystal structure of TmSc2Bi3.

a b c (Å): 6.124 12.986 8.631
angles (deg): 90.00 90.00 90.00
Space group P2_1/c (No. 14)
Unique sites:
Tm: 0.250 0.080 0.126
Sc: 0.249 0.745 0.625
Sc: 0.250 0.085 0.625
Bi: 0.250 0.586 0.367
Bi: 0.250 0.587 0.884
Bi: 0.251 0.249 0.875

## Properties
For the formation enthalpy at 0 K, the calculation gives -0.695 eV per atom. The value obtained for the spin magnetization is 0.000 μB/cell. The calculation puts the total energy at -131.78 eV/cell.



(15)
Density functional theory data (GGA-PBE) for an optimized crystal structure of Tm3ScBi4.

a b c (Å): 8.788 12.426 4.397
angles (deg): 90.00 90.00 90.00
Space group Cmmm (No. 65)
Unique sites:
Tm: 0.000 0.000 0.000
Tm: 0.250 0.250 0.500
Sc: 0.000 0.500 0.000
Bi: 0.000 0.254 0.000
Bi: 0.243 0.500 0.500

## Properties
For the formation enthalpy at 0 K, the calculation gives -0.746 eV per atom. The value obtained for the spin magnetization is 0.000 μB/cell. The calculation puts the total energy at -82.47 eV/cell.



(16)
Density functional theory data (GGA-PBE) for an optimized crystal structure of TmSc2Bi.

a b c (Å): 3.5054 3.5054 30.5080
angles (deg): 90.00 90.00 120.00
Space group R3m (No. 160, hexagonal axes)
Unique sites:
Tm: 0.0000 0.0000 0.0000
Sc: 0.0000 0.0000 0.2472
Sc: 0.0000 0.0000 0.4189
Bi: 0.0000 0.0000 0.8334

## Properties
For the formation enthalpy at 0 K, the calculation gives -0.141 eV per atom. The value obtained for the spin magnetization is 0.367 μB/cell. The calculation puts the total energy at -64.74 eV/cell. The energy above the most stable polymorph in this dataset is 286 meV/atom.



(17)
Density functional theory data (GGA-PBE) for an optimized crystal structure of TmSc3Bi2.

a b c (Å): 4.375 4.375 8.119
angles (deg): 90.00 90.00 90.00
Space group P-4m2 (No. 115)
Unique sites:
Tm: 0.000 0.000 0.000
Sc: 0.000 0.500 0.337
Sc: 0.500 0.500 0.000
Bi: 0.000 0.500 0.709

## Properties
For the formation enthalpy at 0 K, the calculation gives -0.510 eV per atom. The value obtained for the spin magnetization is 0.675 μB/cell. The calculation puts the total energy at -34.29 eV/cell. The energy above the most stable polymorph in this dataset is 0 meV/atom.



(18)
Density functional theory data (GGA-PBE) for an optimized crystal structure of Tm3ScBi3.

a b c (Å): 8.8515 8.8515 18.6390
angles (deg): 90.00 90.00 120.00
Space group R-3 (No. 148, hexagonal axes)
Unique sites:
Tm: 0.0011 0.2502 0.0804
Sc: 0.0000 0.0000 0.3340
Bi: 0.0027 0.3990 0.9155

## Properties
For the formation enthalpy at 0 K, the calculation gives -0.572 eV per atom. The value obtained for the spin magnetization is 0.720 μB/cell. The calculation puts the total energy at -212.37 eV/cell.



(19)
Density functional theory data (GGA-PBE) for an optimized crystal structure of TmSc8Bi6.

a b c (Å): 7.9956 7.9956 22.9234
angles (deg): 90.00 90.00 120.00
Space group R-3 (No. 148, hexagonal axes)
Unique sites:
Tm: 0.0000 0.0000 0.0000
Sc: 0.0000 0.0000 0.3339
Sc: 0.0021 0.6754 0.1245
Bi: 0.0018 0.6593 0.9293

## Properties
For the formation enthalpy at 0 K, the calculation gives -0.410 eV per atom. The value obtained for the spin magnetization is 14.783 μB/cell. The calculation puts the total energy at -253.68 eV/cell.



(20)
Density functional theory data (GGA-PBE) for an optimized crystal structure of TmSc3Bi3.

a b c (Å): 8.7109 8.7109 18.1955
angles (deg): 90.00 90.00 120.00
Space group R-3 (No. 148, hexagonal axes)
Unique sites:
Tm: 0.0000 0.0000 0.1650
Sc: 0.9995 0.2565 0.5759
Bi: 0.0030 0.3895 0.4106

## Properties
For the formation enthalpy at 0 K, the calculation gives -0.530 eV per atom. The value obtained for the spin magnetization is 0.002 μB/cell. The calculation puts the total energy at -232.93 eV/cell.